Compound: La2TbYEr
Source: Alexandria
Functional: GGA-PBE
Structure: optimized geometry

Output
Size of the total moment, μB/f.u.: 0.017
Final energy, eV/cell: -95.378

```
data_La2TbYEr
_chemical_formula_sum 'La8 Tb4 Y4 Er4'
_cell_length_a 6.798
_cell_length_b 9.411
_cell_length_c 11.390
_cell_angle_alpha 90.00
_cell_angle_beta 90.00
_cell_angle_gamma 90.00
_symmetry_space_group_name_H-M 'C m c m'
_symmetry_Int_Tables_number 63
_symmetry_space_group_name_Hall '-C 2c 2'
loop_
_atom_site_label
_atom_site_type_symbol
_atom_site_fract_x
_atom_site_fract_y
_atom_site_fract_z
La1 La 0.244 0.000 0.000
Tb1 Tb 0.000 0.014 0.250
Y1 Y 0.000 0.317 0.750
Er1 Er 0.000 0.341 0.250
```